Entry from Alexandria via LeMat-Bulk: LiTe2MoO6 after structural relaxation (PBE+U).

Cell: 5.5516 7.7260 7.7260 Å, 67.69 77.55 77.55°
With the nearest neighbours (Å) after each atom.
Fractional positions:
1 Mo 0.2500 0.9047 0.0953  6 O 2.05-2.14
2 Mo 0.7500 0.0953 0.9047  6 O 2.05-2.14
3 O 0.3671 0.1625 0.0113  2 Mo 2.05-2.14, 1 Li 2.08
4 O 0.5505 0.3430 0.2629  1 Te 1.93
5 O 0.1329 0.9887 0.8375  2 Mo 2.05-2.14, 1 Li 2.08
6 O 0.6133 0.1888 0.6507  1 Te 1.97, 1 Li 2.02, 1 Mo 2.07
7 O 0.6329 0.8375 0.9887  2 Mo 2.05-2.14, 1 Li 2.08
8 O 0.3867 0.8112 0.3493  1 Te 1.97, 1 Li 2.02, 1 Mo 2.07
9 O 0.8867 0.3493 0.8112  1 Te 1.97, 1 Li 2.02, 1 Mo 2.07
10 O 0.4495 0.6570 0.7371  1 Te 1.93
11 O 0.0505 0.2629 0.3430  1 Te 1.93
12 O 0.1133 0.6507 0.1888  1 Te 1.97, 1 Li 2.02, 1 Mo 2.07
13 O 0.8671 0.0113 0.1625  2 Mo 2.05-2.14, 1 Li 2.08
14 O 0.9495 0.7371 0.6570  1 Te 1.93
15 Te 0.2704 0.8822 0.5759  2 O 1.93-1.97
16 Te 0.2296 0.4241 0.1178  2 O 1.93-1.97
17 Te 0.7704 0.5759 0.8822  2 O 1.93-1.97
18 Te 0.7296 0.1178 0.4241  2 O 1.93-1.97
19 Li 0.2500 0.2507 0.7492  4 O 2.02-2.08
20 Li 0.7500 0.7492 0.2507  4 O 2.02-2.08

Computed properties:
The crystal system is monoclinic. The magnetic moment comes out at 2.0 μB/f.u. Its calculated total energy is -5.75 eV/atom.